# 1
Density functional theory data (PBE-GGA) for an optimized crystal structure of InAu3Br.

Values from the calculation:
The formation energy (no corrections) comes out at 692.4 meV per atom. For the magnetic moment, the calculation gives 0.000 μB per cell.

a b c (Å): 5.237 5.237 5.237
angles (deg): 90.00 90.00 90.00
Space group Pm-3m (No. 221)
Asymmetric unit:
In  0.000  0.000  0.000 x1
Au  0.000  0.500  0.500 x3
Br  0.500  0.500  0.500 x1

---

# 2
Density functional theory data (PBE-GGA) for an optimized crystal structure of Cs2LiNiH6.

Values from the calculation:
For the magnetic moment, the calculation gives 1.040 μB per cell. For the total energy, the calculation gives -3.170 eV/atom.

a b c (Å): 6.2518 6.2518 4.8369
angles (deg): 90.00 90.00 120.00
Space group P-3m1 (No. 164)
Asymmetric unit:
Cs  0.3333  0.6667  0.2462 x2
Li  0.0000  0.0000  0.5000 x1
Ni  0.0000  0.0000  0.0000 x1
H  0.1189  0.2377  0.8073 x6

---

# 3
Density functional theory data (PBE-GGA) for an optimized crystal structure of Sc3AsOs.

Values from the calculation:
For the energy relative to the elements, the calculation gives -73.0 meV/atom. For the magnetic moment, the calculation gives 0.000 μB per cell.

a b c (Å): 4.980 4.980 4.980
angles (deg): 90.00 90.00 90.00
Space group Pm-3m (No. 221)
Asymmetric unit:
Sc  0.000  0.000  0.500 x3
As  0.500  0.500  0.500 x1
Os  0.000  0.000  0.000 x1

---

# 4
Density functional theory data (PBE-GGA) for an optimized crystal structure of LiLaSi2.

Values from the calculation:
The formation energy (no corrections) comes out at -623.3 meV per atom. For the magnetic moment, the calculation gives 0.000 μB per cell.

a b c (Å): 6.952 4.281 11.105
angles (deg): 90.00 90.00 90.00
Space group Pnma (No. 62)
Asymmetric unit:
Li  0.131  0.250  0.059 x4
La  0.141  0.250  0.350 x4
Si  0.031  0.250  0.836 x4
Si  0.189  0.250  0.646 x4

---

# 5
Density functional theory data (PBE-GGA) for an optimized crystal structure of SrAgBO3.

Values from the calculation:
The formation energy (no corrections) comes out at -1999.6 meV per atom. For the magnetic moment, the calculation gives 0.000 μB per cell.

a b c (Å): 5.4352 5.4352 7.1823
angles (deg): 90.00 90.00 120.00
Space group P6_3/mmc (No. 194)
Asymmetric unit:
Sr  0.0000  0.0000  0.0000 x2
Ag  0.3333  0.6667  0.2500 x2
B  0.3333  0.6667  0.7500 x2
O  0.1860  0.3721  0.7500 x6

---

# 6
Density functional theory data (PBE-GGA) for an optimized crystal structure of In2BiPt9.

Values from the calculation:
For the energy relative to the elements, the calculation gives -288.1 meV/atom. For the magnetic moment, the calculation gives 0.000 μB per cell.

a b c (Å): 4.083 4.083 12.270
angles (deg): 90.00 90.00 90.00
Space group P4/mmm (No. 123)
Asymmetric unit:
In  0.000  0.000  0.160 x2
Bi  0.000  0.000  0.500 x1
Pt  0.000  0.500  0.000 x2
Pt  0.000  0.500  0.326 x4
Pt  0.500  0.500  0.164 x2
Pt  0.500  0.500  0.500 x1

---

# 7
Density functional theory data (PBE-GGA) for an optimized crystal structure of TlZnH8Rh2.

Values from the calculation:
For the magnetic moment, the calculation gives 0.000 μB per cell. For the total energy, the calculation gives -3.701 eV/atom.

a b c (Å): 4.7638 4.7638 19.6530
angles (deg): 90.00 90.00 120.00
Space group R-3 (No. 148, hexagonal axes)
Asymmetric unit:
Tl  0.0000  0.0000  0.0000 x3
Zn  0.0000  0.0000  0.5000 x3
H  0.0000  0.0000  0.2746 x6
H  0.0196  0.7189  0.8801 x18
Rh  0.0000  0.0000  0.1926 x6

---

# 8
Density functional theory data (PBE-GGA) for an optimized crystal structure of TiTeAsSe2.

Values from the calculation:
The formation energy (no corrections) comes out at -51.6 meV per atom. For the magnetic moment, the calculation gives 0.000 μB per cell.

a b c (Å): 4.826 4.826 5.285
angles (deg): 90.00 90.00 90.00
Space group P4/mmm (No. 123)
Asymmetric unit:
Ti  0.000  0.000  0.000 x1
Te  0.500  0.500  0.500 x1
As  0.000  0.000  0.500 x1
Se  0.000  0.500  0.000 x2

---

# 9
Density functional theory data (PBE-GGA) for an optimized crystal structure of BaCdHg2.

Values from the calculation:
For the energy relative to the elements, the calculation gives -224.0 meV/atom. For the magnetic moment, the calculation gives 0.000 μB per cell.

a b c (Å): 5.332 5.332 20.471
angles (deg): 90.00 90.00 90.00
Space group I-42d (No. 122)
Asymmetric unit:
Ba  0.000  0.000  0.000 x4
Cd  0.000  0.000  0.500 x4
Hg  0.138  0.250  0.625 x8

---

# 10
Density functional theory data (PBE-GGA) for an optimized crystal structure of Sc2AlFe.

Values from the calculation:
For the energy relative to the elements, the calculation gives -132.2 meV/atom. For the magnetic moment, the calculation gives 3.536 μB per cell.

a b c (Å): 6.461 6.461 6.461
angles (deg): 90.00 90.00 90.00
Space group F-43m (No. 216)
Asymmetric unit:
Sc  0.000  0.000  0.000 x4
Sc  0.250  0.250  0.250 x4
Al  0.250  0.250  0.750 x4
Fe  0.000  0.000  0.500 x4

---

# 11
Density functional theory data (PBE-GGA) for an optimized crystal structure of Ba2ZnCuAg2F14.

Values from the calculation:
The formation energy (no corrections) comes out at -2138.9 meV per atom. For the magnetic moment, the calculation gives 12.157 μB per cell.

a b c (Å): 14.444 5.334 15.417
angles (deg): 90.00 91.70 90.00
Space group C2/c (No. 15)
Asymmetric unit:
Ba  0.186  0.095  0.125 x8
Zn  0.000  0.421  0.750 x4
Cu  0.000  0.500  0.000 x4
Ag  0.118  0.033  0.372 x8
F  0.013  0.127  0.666 x8
F  0.045  0.422  0.110 x8
F  0.074  0.217  0.492 x8
F  0.103  0.339  0.277 x8
F  0.145  0.277  0.957 x8
F  0.180  0.182  0.770 x8
F  0.246  0.370  0.594 x8